The following is a GGA-PBE calculation of U2Tl2NiS6 after structural relaxation, from Alexandria via LeMat-Bulk.

a b c (Å): 6.651 6.651 7.996
angles (deg): 97.79 97.79 120.94
Positions (direct):
S1 0.601 0.937 0.306
S2 0.242 0.242 0.325
S3 0.758 0.758 0.675
S4 0.063 0.399 0.694
S5 0.937 0.601 0.306
S6 0.399 0.063 0.694
Tl1 0.836 0.164 0.000
Tl2 0.164 0.836 0.000
Ni1 0.000 0.000 0.500
U1 0.334 0.666 0.500
U2 0.666 0.334 0.500

Summary:
Its symmetry is No. 12. The formation energy (no corrections) comes out at -81.7 kJ/mol of atoms.

***

The following is a GGA-PBE calculation of LiNdCd6 after structural relaxation, from Alexandria via LeMat-Bulk.

a b c (Å): 4.938 4.938 9.064
angles (deg): 74.19 74.19 60.00
Positions (direct):
Cd1 0.889 0.889 0.333
Cd2 0.250 0.250 0.251
Cd3 0.111 0.111 0.667
Cd4 0.633 0.633 0.102
Cd5 0.367 0.367 0.898
Cd6 0.750 0.750 0.749
Li1 0.000 0.000 0.000
Nd1 0.500 0.500 0.500

Summary:
As for the calculated formation energy: -225 meV/atom. Its symmetry is No. 166. As for the energy above the lowest structure with this stoichiometry: 0 meV/atom.

***

The following is a GGA-PBE calculation of TbDy5Y2Er after structural relaxation, from Alexandria via LeMat-Bulk.

a b c (Å): 5.595 10.288 10.582
angles (deg): 90.00 90.00 105.78
Positions (direct):
Y1 0.891 0.781 0.237
Y2 0.886 0.772 0.819
Y3 0.114 0.228 0.319
Y4 0.109 0.219 0.737
Dy1 0.521 0.041 0.239
Dy2 0.608 0.215 0.523
Dy3 0.392 0.785 0.023
Dy4 0.717 0.435 0.807
Dy5 0.283 0.565 0.307
Dy6 0.300 0.599 0.706
Dy7 0.479 0.959 0.739
Dy8 0.019 0.038 0.025
Dy9 0.981 0.962 0.525
Dy10 0.700 0.401 0.206
Er1 0.587 0.174 0.958
Er2 0.413 0.826 0.458
Tb1 0.201 0.402 0.010
Tb2 0.799 0.598 0.510

Summary:
As for the calculated formation energy: 151 meV/atom. Its symmetry is No. 36.

***

The following is a GGA-PBE calculation of LuCo2Si after structural relaxation, from Alexandria via LeMat-Bulk.

a b c (Å): 3.961 3.961 5.094
angles (deg): 67.12 67.12 60.00
Positions (direct):
Co1 0.804 0.804 0.589
Co2 0.196 0.196 0.411
Si1 0.500 0.500 0.500
Lu1 0.000 0.000 0.000

Summary:
Its symmetry is No. 166. The formation energy (no corrections) comes out at -48.3 kJ/mol of atoms.

***

no.,total magnetization (Bohr magnetons per cell)
1,4.46
2,0.00
3,0.00
4,0.00